## Pm6Y2TmMg (PBE)

Data for a relaxed Pm6Y2TmMg crystal.

Values from the calculation:
formation enthalpy at 0 K = 0.11 eV per atom

Cell lengths 8.593, 8.593, 9.424 Å; angles 96.51, 96.51, 105.43 degrees
Fractional positions:
Pm1 0.034 0.464 0.671
Pm2 0.070 0.827 0.905
Pm3 0.173 0.930 0.595
Pm4 0.243 0.576 0.077
Pm5 0.424 0.757 0.423
Pm6 0.464 0.034 0.171
Pm7 0.536 0.966 0.829
Pm8 0.576 0.243 0.577
Pm9 0.757 0.424 0.923
Pm10 0.827 0.070 0.405
Pm11 0.930 0.173 0.095
Pm12 0.966 0.536 0.329
Y1 0.235 0.303 0.404
Y2 0.303 0.235 0.904
Y3 0.697 0.765 0.096
Y4 0.765 0.697 0.596
Tm1 0.433 0.567 0.750
Tm2 0.567 0.433 0.250
Mg1 0.097 0.903 0.250
Mg2 0.903 0.097 0.750

## Pm4Y2TmMg (PBE)

Data for a relaxed Pm4Y2TmMg crystal.

Values from the calculation:
formation enthalpy at 0 K = 0.01 eV per atom

Cell lengths 5.047, 5.047, 10.024 Å; angles 90.00, 90.00, 90.00 degrees
Fractional positions:
Pm1 0.000 0.500 0.247
Pm2 0.000 0.500 0.753
Pm3 0.500 0.000 0.247
Pm4 0.500 0.000 0.753
Y1 0.000 0.000 0.000
Y2 0.500 0.500 0.500
Tm1 0.000 0.000 0.500
Mg1 0.500 0.500 0.000

## Pm2Y2TmMg5 (PBE)

Data for a relaxed Pm2Y2TmMg5 crystal.

Values from the calculation:
formation enthalpy at 0 K = 0.05 eV per atom

Cell lengths 10.629, 10.629, 5.059 Å; angles 90.00, 90.00, 90.00 degrees
Fractional positions:
Pm1 0.177 0.323 0.000
Pm2 0.323 0.823 0.000
Pm3 0.677 0.177 0.000
Pm4 0.823 0.677 0.000
Y1 0.121 0.621 0.000
Y2 0.379 0.121 0.000
Y3 0.621 0.879 0.000
Y4 0.879 0.379 0.000
Tm1 0.000 0.000 0.000
Tm2 0.500 0.500 0.000
Mg1 0.000 0.500 0.500
Mg2 0.068 0.803 0.500
Mg3 0.197 0.068 0.500
Mg4 0.303 0.568 0.500
Mg5 0.432 0.303 0.500
Mg6 0.500 0.000 0.500
Mg7 0.568 0.697 0.500
Mg8 0.697 0.432 0.500
Mg9 0.803 0.932 0.500
Mg10 0.932 0.197 0.500

## Pm2YTm2Mg5 (PBE)

Data for a relaxed Pm2YTm2Mg5 crystal.

Values from the calculation:
formation enthalpy at 0 K = 0.03 eV per atom

Cell lengths 10.593, 10.593, 5.057 Å; angles 90.00, 90.00, 90.00 degrees
Fractional positions:
Pm1 0.177 0.323 0.000
Pm2 0.323 0.823 0.000
Pm3 0.677 0.177 0.000
Pm4 0.823 0.677 0.000
Y1 0.000 0.000 0.000
Y2 0.500 0.500 0.000
Tm1 0.119 0.619 0.000
Tm2 0.381 0.119 0.000
Tm3 0.619 0.881 0.000
Tm4 0.881 0.381 0.000
Mg1 0.000 0.500 0.500
Mg2 0.070 0.801 0.500
Mg3 0.199 0.070 0.500
Mg4 0.301 0.570 0.500
Mg5 0.430 0.301 0.500
Mg6 0.500 0.000 0.500
Mg7 0.570 0.699 0.500
Mg8 0.699 0.430 0.500
Mg9 0.801 0.930 0.500
Mg10 0.930 0.199 0.500

| no. | DOS at the Fermi energy (states/eV/f.u.) |
| --- | --- |
| 1 | 14.13 |
| 2 | 11.09 |
| 3 | 6.78 |
| 4 | 6.74 |